Record 1
## KTe2Br (GGA-PBE)

Data for KTe2Br after structural relaxation.

a b c (Å): 5.1392 5.1392 6.3286
angles (deg): 90.00 90.00 90.00
Last column: nearest neighbours and their distance in Å.
Space group P4/mmm (No. 123)
Unique sites:
K (0.0000, 0.0000, 0.0000) [1 per cell]  2 Br 3.16
Te (0.5000, 0.5000, 0.2088) [2 per cell]  1 Te 2.64
Br (0.0000, 0.0000, 0.5000) [1 per cell]  2 K 3.16

Summary:
Distance to the lowest polymorph of the same formula ... 312 meV/atom

Record 2
## KTe2Br (GGA-PBE)

Data for KTe2Br after structural relaxation.

a b c (Å): 4.4939 4.5105 13.1456
angles (deg): 90.00 90.00 90.00
Last column: nearest neighbours and their distance in Å.
Space group Cmmm (No. 65)
Unique sites:
K (0.0000, 0.0000, 0.0000) [2 per cell]  4 K 3.18, 4 Te 3.56
Te (0.0000, 0.5000, 0.2105) [4 per cell]  4 Te 3.18, 2 K 3.56
Br (0.0000, 0.0000, 0.5000) [2 per cell]  4 Br 3.18

Summary:
Distance to the lowest polymorph of the same formula ... 546 meV/atom

Record 3
## K3TeBr (GGA-PBE)

Data for K3TeBr after structural relaxation.

a b c (Å): 9.0467 5.2283 16.6059
angles (deg): 90.00 90.00 90.00
Last column: nearest neighbours and their distance in Å.
Space group Pnma (No. 62)
Unique sites:
K (0.0333, 0.2500, 0.1318) [4 per cell]  3 Br 3.20-3.34, 2 Te 3.49-3.56
K (0.1614, 0.2500, 0.5176) [4 per cell]  2 Br 3.50, 3 Te 3.63-3.74
K (0.1757, 0.7500, 0.2799) [4 per cell]  1 Br 3.16
Te (0.0852, 0.7500, 0.6635) [4 per cell]  9 K 3.49-3.90
Br (0.1276, 0.2500, 0.9374) [4 per cell]  6 K 3.16-3.50

Summary:
Distance to the lowest polymorph of the same formula ... 0 meV/atom

Record 4
## KTe2Br (GGA-PBE)

Data for KTe2Br after structural relaxation.

a b c (Å): 6.0786 14.7442 3.1758
angles (deg): 90.00 98.52 90.00
Last column: nearest neighbours and their distance in Å.
Space group C2/m (No. 12)
Unique sites:
K (0.0000, 0.0000, 0.0000) [2 per cell]  2 Br 3.04, 2 K 3.18
Te (0.2500, 0.2500, 0.5000) [4 per cell]  4 Te 3.04-3.18
Br (0.0000, 0.5000, 0.0000) [2 per cell]  2 K 3.04, 2 Br 3.18

Summary:
Distance to the lowest polymorph of the same formula ... 277 meV/atom

Record 5
## KTeBr4 (GGA-PBE)

Data for KTeBr4 after structural relaxation.

a b c (Å): 9.4255 15.0564 8.0029
angles (deg): 90.00 125.25 90.00
Last column: nearest neighbours and their distance in Å.
Space group C2/c (No. 15)
Unique sites:
K (0.0000, 0.1168, 0.2500) [4 per cell]  6 Br 3.32-3.52
Te (0.0000, 0.4057, 0.7500) [4 per cell]  4 Br 2.68-2.76
Br (0.1622, 0.2779, 0.6866) [8 per cell]  1 Te 2.68
Br (0.2134, 0.4679, 0.2533) [8 per cell]  1 Te 2.76

Summary:
Distance to the lowest polymorph of the same formula ... 0 meV/atom

Record 6
## KTeBr4 (GGA-PBE)

Data for KTeBr4 after structural relaxation.

a b c (Å): 9.3038 9.3038 9.3038
angles (deg): 90.00 90.00 90.00
Last column: nearest neighbours and their distance in Å.
Space group F-43m (No. 216)
Unique sites:
K (0.0000, 0.0000, 0.0000) [4 per cell]  12 Br 3.86, 4 Te 4.03
Te (0.2500, 0.2500, 0.2500) [4 per cell]  12 Br 3.86, 4 K 4.03
Br (0.1251, 0.1251, 0.6251) [16 per cell]  6 Br 3.29

Summary:
Distance to the lowest polymorph of the same formula ... 817 meV/atom

Record 7
## KTeBr3 (GGA-PBE)

Data for KTeBr3 after structural relaxation.

a b c (Å): 6.1702 6.1702 6.1702
angles (deg): 90.00 90.00 90.00
Last column: nearest neighbours and their distance in Å.
Space group Pm-3m (No. 221)
Unique sites:
K (0.0000, 0.0000, 0.0000) [1 per cell]  6 Br 3.09
Te (0.5000, 0.5000, 0.5000) [1 per cell]  12 Br 4.36
Br (0.0000, 0.0000, 0.5000) [3 per cell]  2 K 3.09

Summary:
Distance to the lowest polymorph of the same formula ... 814 meV/atom

Record 8
## KTe2Br2 (GGA-PBE)

Data for KTe2Br2 after structural relaxation.

a b c (Å): 9.2231 9.2231 5.5436
angles (deg): 90.00 90.00 90.00
Last column: nearest neighbours and their distance in Å.
Space group P4/mbm (No. 127)
Unique sites:
K (0.0000, 0.0000, 0.0000) [2 per cell]  4 Br 3.27
Te (0.0977, 0.4023, 0.5000) [4 per cell]  1 Te 2.55
Br (0.2366, 0.2634, 0.0000) [4 per cell]  2 K 3.27, 2 Te 3.31

Summary:
Distance to the lowest polymorph of the same formula ... 49 meV/atom

The evaluated total magnetic moment for the records listed, in turn: 0.442 0.000 0.000 0.000 0.000 0.171 0.819 0.194 μB per atom.